Material: Sc8Tc
Method: DFT, PBE
State: relaxed

It has space group I4/mmm (No. 139), with a = 9.294 Å, b = 9.294 Å, c = 4.678 Å, α = 90.00°, β = 90.00° and γ = 90.00°. The asymmetric unit holds Sc at (0.000, 0.316, 0.000), Sc at (0.157, 0.157, 0.500) and Tc at (0.000, 0.000, 0.000).

As for the formation energy: 41 meV/atom. The value obtained for the final energy is -121.29 eV per cell. The calculation puts the magnetization at 0.000 μB/atom.